PBE Dy4GaHgO, relaxed; ρ = 9.37 Mg/m³; DFT total energy = -69.13 eV per cell
1.0
-2.9196 3.4493 4.7071
-4.3270 -4.8174 0.8463
6.1361 -4.9944 2.9430
Ga Dy Hg O
2 8 2 2
direct
0.1185 0.2500 0.2371 Ga
0.8815 0.7500 0.7629 Ga
0.5758 0.2500 0.1516 Dy
0.9291 0.2500 0.8582 Dy
0.0709 0.7500 0.1418 Dy
0.0000 0.5000 0.5000 Dy
0.4242 0.7500 0.8484 Dy
0.5000 0.0000 0.5000 Dy
0.0000 0.0000 0.5000 Dy
0.5000 0.5000 0.5000 Dy
0.6146 0.7500 0.2292 Hg
0.3854 0.2500 0.7708 Hg
0.7460 0.2500 0.4920 O
0.2540 0.7500 0.5080 O

***

PBE Be2TcCl, relaxed; excess energy over the best structure of this formula in the dataset = 430 meV per atom; ρ = 5.16 Mg/m³; DFT total energy = -17.44 eV per cell
1.0
3.5218 0.0000 0.0000
0.0000 4.3520 0.0000
0.0000 0.0000 3.1806
Be Cl Tc
2 1 1
direct
0.5000 0.5000 0.0000 Be
0.0000 0.0000 0.0000 Be
0.5000 0.0000 0.5000 Cl
0.0000 0.5000 0.5000 Tc

***

What did the second record say?
PBE Be2TcCl, relaxed; excess energy over the best structure of this formula in the dataset = 430 meV per atom; ρ = 5.16 Mg/m³; DFT total energy = -17.44 eV per cell
1.0
3.5218 0.0000 0.0000
0.0000 4.3520 0.0000
0.0000 0.0000 3.1806
Be Cl Tc
2 1 1
direct
0.5000 0.5000 0.0000 Be
0.0000 0.0000 0.0000 Be
0.5000 0.0000 0.5000 Cl
0.0000 0.5000 0.5000 Tc

***

> Which of these has the highest DFT total energy?

Be2TcCl

***

> What is the ρ in the second record?

5.16 Mg/m³